Density functional theory data (PBE with a Hubbard U) for a relaxed Sr2MoO5 crystal.

Results
Fermi-level density of states: 0.00 states/eV/f.u.
Offset from the most stable computed form: 65 meV per atom

Cell and atoms, written as POSCAR:
```
Sr2MoO5
1.0
2.0279 -6.1801 0.0000
2.0279 6.1801 0.0000
0.0000 0.0000 11.0260
Sr Mo O
4 2 10
Direct
0.1418 0.8582 0.5699 Sr
0.1418 0.8582 0.9301 Sr
0.8582 0.1418 0.0699 Sr
0.8582 0.1418 0.4301 Sr
0.1569 0.8431 0.2500 Mo
0.8431 0.1569 0.7500 Mo
0.0502 0.9498 0.1294 O
0.0502 0.9498 0.3706 O
0.2672 0.7328 0.1178 O
0.2672 0.7328 0.3822 O
0.3244 0.6756 0.7500 O
0.6756 0.3244 0.2500 O
0.7328 0.2672 0.6178 O
0.7328 0.2672 0.8822 O
0.9498 0.0502 0.6294 O
0.9498 0.0502 0.8706 O
```